Entry 1:
The following is a GGA-PBE calculation of a relaxed ThTi2Sb2 crystal, from the Alexandria database.

Its total moment is 0.0 μB/f.u. Its raw formation energy is -1.54 eV/f.u.

The structure belongs to space group C2/c (No. 15); the cell edges are 9.0753, 11.5174 and 5.9023 Å and the angles 90.00°, 125.22° and 90.00°. The asymmetric unit holds Th at (0.0000, 0.1008, 0.2500), Ti at (0.1700, 0.4110, 0.9825), Sb at (0.0000, 0.1939, 0.7500) and Sb at (0.0000, 0.3781, 0.2500).

=====

Entry 2:
The following is a GGA-PBE calculation of a relaxed Li2Mn2Ir crystal, from the Alexandria database.

Its total moment is 0.0 μB/f.u. The energy of formation comes out at 0.6083 eV/atom. As for the offset from the most stable computed form: 310 meV per atom.

The structure belongs to space group I4/mmm (No. 139); the cell edges are 3.2362, 3.2362 and 10.8431 Å and the angles 90.00°, 90.00° and 90.00°. The asymmetric unit holds Li at (0.0000, 0.0000, 0.0879), Mn at (0.0000, 0.5000, 0.2500) and Ir at (0.0000, 0.0000, 0.5000).

=====

Entry 3:
The following is a GGA-PBE calculation of a relaxed AcMgTl2 crystal, from the Alexandria database.

Its total moment is 0.0 μB/f.u. The energy of formation comes out at -0.0588 eV/atom. As for the offset from the most stable computed form: 230 meV per atom.

The structure belongs to space group R-3m (No. 166, hexagonal axes); the cell edges are 3.6643, 3.6643 and 31.7731 Å and the angles 90.00°, 90.00° and 120.00°. The asymmetric unit holds Ac at (0.0000, 0.0000, 0.0000), Mg at (0.0000, 0.0000, 0.5000) and Tl at (0.0000, 0.0000, 0.2407).

=====

Entry 4:
The following is a GGA-PBE calculation of a relaxed NdZnHg6 crystal, from the Alexandria database.

Its total moment is 0.0 μB/f.u. The energy of formation comes out at 0.1349 eV/atom.

The structure belongs to space group R-3m (No. 166, hexagonal axes); the cell edges are 6.2684, 6.2684 and 24.1167 Å and the angles 90.00°, 90.00° and 120.00°. The asymmetric unit holds Nd at (0.0000, 0.0000, 0.0000), Zn at (0.0000, 0.0000, 0.5000) and Hg at (0.0101, 0.5051, 0.4371).

=====

Entry 5:
The following is a GGA-PBE calculation of a relaxed BaCdPt2 crystal, from the Alexandria database.

Its total moment is 0.0 μB/f.u. The energy of formation comes out at -0.0446 eV/atom.

The structure belongs to space group F-43m (No. 216); the cell edges are 7.1891, 7.1891 and 7.1891 Å and the angles 90.00°, 90.00° and 90.00°. The asymmetric unit holds Ba at (0.0000, 0.0000, 0.0000), Cd at (0.2500, 0.2500, 0.2500), Pt at (0.0000, 0.0000, 0.5000) and Pt at (0.2500, 0.2500, 0.7500).

=====

Entry 6:
The following is a GGA-PBE calculation of a relaxed Pm12ZnSi7 crystal, from the Alexandria database.

Its total moment is 0.0 μB/f.u. Its raw formation energy is -7.84 eV/f.u.

The structure belongs to space group R-3 (No. 148, hexagonal axes); the cell edges are 14.5798, 14.5798 and 8.9803 Å and the angles 90.00°, 90.00° and 120.00°. The asymmetric unit holds Pm at (0.0305, 0.4448, 0.3150), Pm at (0.0445, 0.1749, 0.2719), Zn at (0.0000, 0.0000, 0.0000), Si at (0.0000, 0.0000, 0.5000) and Si at (0.0467, 0.1853, 0.9299).

=====

Entry 7:
The following is a GGA-PBE calculation of a relaxed Sm6CdTc2 crystal, from the Alexandria database.

Its total moment is 0.0 μB/f.u. The energy of formation comes out at -0.0726 eV/atom.

The structure belongs to space group Immm (No. 71); the cell edges are 9.7826, 9.8798 and 10.4647 Å and the angles 90.00°, 90.00° and 90.00°. The asymmetric unit holds Sm at (0.0000, 0.2139, 0.2287), Sm at (0.2089, 0.5000, 0.1861), Sm at (0.2145, 0.3099, 0.5000), Cd at (0.0000, 0.0000, 0.0000), Cd at (0.0000, 0.0000, 0.5000), Tc at (0.0000, 0.3777, 0.0000) and Tc at (0.0000, 0.5000, 0.3862).

=====

Entry 8:
The following is a GGA-PBE calculation of a relaxed Ac2TlGa4Au3 crystal, from the Alexandria database.

Its total moment is 0.0 μB/f.u. The energy of formation comes out at -0.5872 eV/atom.

The structure belongs to space group P-4m2 (No. 115); the cell edges are 4.5788, 4.5788 and 11.0465 Å and the angles 90.00°, 90.00° and 90.00°. The asymmetric unit holds Ac at (0.0000, 0.5000, 0.2432), Tl at (0.0000, 0.0000, 0.5000), Ga at (0.0000, 0.0000, 0.0000), Ga at (0.0000, 0.5000, 0.6449), Ga at (0.5000, 0.5000, 0.0000), Au at (0.0000, 0.5000, 0.8772) and Au at (0.5000, 0.5000, 0.5000).

=====

Entry 9:
The following is a GGA-PBE calculation of a relaxed InCu3S2 crystal, from the Alexandria database.

Its total moment is 0.0 μB/f.u. Its raw formation energy is -0.99 eV/f.u.

The structure belongs to space group P-1 (No. 2); the cell edges are 3.8130, 7.4873 and 8.4357 Å and the angles 110.19°, 90.12° and 104.75°. The asymmetric unit holds In at (0.1386, 0.2825, 0.0595), Cu at (0.0568, 0.1182, 0.4032), Cu at (0.3154, 0.6258, 0.5824), Cu at (0.4096, 0.8246, 0.3607), S at (0.1882, 0.3707, 0.6714) and S at (0.4778, 0.9511, 0.7732).

=====

Entry 10:
The following is a GGA-PBE calculation of a relaxed Y4FeS7 crystal, from the Alexandria database.

Its total moment is 4.0 μB/f.u. Its raw formation energy is -20.53 eV/f.u.

The structure belongs to space group Cm (No. 8); the cell edges are 12.4147, 3.8041 and 11.4129 Å and the angles 90.00°, 104.82° and 90.00°. The asymmetric unit holds Y at (0.0000, 0.0000, 0.0000), Y at (0.0834, 0.5000, 0.3515), Y at (0.1954, 0.5000, 0.7966), Y at (0.3890, 0.0000, 0.5882), Fe at (0.3036, 0.5000, 0.2152), S at (0.0347, 0.0000, 0.7366), S at (0.1623, 0.5000, 0.0192), S at (0.2052, 0.0000, 0.2812), S at (0.2309, 0.5000, 0.5731), S at (0.3576, 0.0000, 0.8424), S at (0.4210, 0.0000, 0.1437) and S at (0.4487, 0.5000, 0.4238).

=====

Entry 11:
The following is a GGA-PBE calculation of a relaxed PuCoSn2 crystal, from the Alexandria database.

Its total moment is 5.0 μB/f.u. The energy of formation comes out at 0.2325 eV/atom.

The structure belongs to space group R-3m (No. 166, hexagonal axes); the cell edges are 3.2085, 3.2085 and 30.8014 Å and the angles 90.00°, 90.00° and 120.00°. The asymmetric unit holds Pu at (0.0000, 0.0000, 0.0000), Co at (0.0000, 0.0000, 0.5000) and Sn at (0.0000, 0.0000, 0.1044).

=====

Entry 12:
The following is a GGA-PBE calculation of a relaxed MnMoHRh2 crystal, from the Alexandria database.

Its total moment is 0.0 μB/f.u. As for the offset from the most stable computed form: 14 meV per atom.

The structure belongs to space group P4/mmm (No. 123); the cell edges are 3.8115, 3.8115 and 3.9109 Å and the angles 90.00°, 90.00° and 90.00°. The asymmetric unit holds Mn at (0.0000, 0.0000, 0.0000), Mo at (0.5000, 0.5000, 0.0000), H at (0.0000, 0.0000, 0.5000) and Rh at (0.0000, 0.5000, 0.5000).

=====

Entry 13:
The following is a GGA-PBE calculation of a relaxed IrPb2W crystal, from the Alexandria database.

Its total moment is 0.0 μB/f.u. The energy of formation comes out at 1.0061 eV/atom. As for the offset from the most stable computed form: 721 meV per atom.

The structure belongs to space group I-4m2 (No. 119); the cell edges are 4.2974, 4.2974 and 8.7305 Å and the angles 90.00°, 90.00° and 90.00°. The asymmetric unit holds Ir at (0.0000, 0.0000, 0.0000), Pb at (0.0000, 0.0000, 0.5000), Pb at (0.0000, 0.5000, 0.7500) and W at (0.0000, 0.5000, 0.2500).

=====

Entry 14:
The following is a GGA-PBE calculation of a relaxed In2W crystal, from the Alexandria database.

Its total moment is 0.0 μB/f.u. The energy of formation comes out at 0.2734 eV/atom.

The structure belongs to space group P-1 (No. 2); the cell edges are 3.2193, 3.2302 and 13.1196 Å and the angles 89.35°, 89.93° and 89.99°. The asymmetric unit holds In at (0.2483, 0.2303, 0.1999), In at (0.2491, 0.7446, 0.4066) and W at (0.2507, 0.2745, 0.9482).

=====

Entry 15:
The following is a GGA-PBE calculation of a relaxed Ba2CdMo crystal, from the Alexandria database.

Its total moment is 1.9 μB/f.u. The energy of formation comes out at 0.8437 eV/atom.

The structure belongs to space group R-3m (No. 166, hexagonal axes); the cell edges are 3.9028, 3.9028 and 31.8854 Å and the angles 90.00°, 90.00° and 120.00°. The asymmetric unit holds Ba at (0.0000, 0.0000, 0.2421), Cd at (0.0000, 0.0000, 0.0000) and Mo at (0.0000, 0.0000, 0.5000).

=====

Entry 16:
The following is a GGA-PBE calculation of a relaxed PrDy2Np crystal, from the Alexandria database.

Its total moment is 3.5 μB/f.u. The energy of formation comes out at 0.3932 eV/atom.

The structure belongs to space group R-3m (No. 166, hexagonal axes); the cell edges are 3.3950, 3.3950 and 36.7985 Å and the angles 90.00°, 90.00° and 120.00°. The asymmetric unit holds Pr at (0.0000, 0.0000, 0.0000), Dy at (0.0000, 0.0000, 0.0930) and Np at (0.0000, 0.0000, 0.5000).

=====

Entry 17:
The following is a GGA-PBE calculation of a relaxed CrPbAu2 crystal, from the Alexandria database.

Its total moment is 3.7 μB/f.u. The energy of formation comes out at 0.3481 eV/atom.

The structure belongs to space group I-42d (No. 122); the cell edges are 4.0507, 4.0507 and 20.4872 Å and the angles 90.00°, 90.00° and 90.00°. The asymmetric unit holds Cr at (0.0000, 0.0000, 0.0000), Pb at (0.0000, 0.0000, 0.5000) and Au at (0.2393, 0.2500, 0.1250).

=====

Entry 18:
The following is a GGA-PBE calculation of a relaxed NaInOs2O8 crystal, from the Alexandria database.

Its total moment is 1.0 μB/f.u. Its raw formation energy is -12.69 eV/f.u.

The structure belongs to space group I-4 (No. 82); the cell edges are 5.2252, 5.2252 and 11.6812 Å and the angles 90.00°, 90.00° and 90.00°. The asymmetric unit holds Na at (0.0000, 0.0000, 0.0000), In at (0.0000, 0.5000, 0.7500), Os at (0.0000, 0.0000, 0.5000), Os at (0.0000, 0.5000, 0.2500), O at (0.1581, 0.2386, 0.5860) and O at (0.1728, 0.7530, 0.1776).

=====

Entry 19:
The following is a GGA-PBE calculation of a relaxed LiCu2Sb2 crystal, from the Alexandria database.

Its total moment is 0.0 μB/f.u. Its raw formation energy is -0.15 eV/f.u. As for the offset from the most stable computed form: 27 meV per atom.

The structure belongs to space group P4/mbm (No. 127); the cell edges are 7.1060, 7.1060 and 3.7216 Å and the angles 90.00°, 90.00° and 90.00°. The asymmetric unit holds Li at (0.0000, 0.0000, 0.0000), Cu at (0.1227, 0.3773, 0.0000) and Sb at (0.1803, 0.6803, 0.5000).

=====

Entry 20:
The following is a GGA-PBE calculation of a relaxed Pr4Pt2O crystal, from the Alexandria database.

Its total moment is 0.0 μB/f.u. Its raw formation energy is -9.57 eV/f.u. As for the offset from the most stable computed form: 23 meV per atom.

The structure belongs to space group I4/mmm (No. 139); the cell edges are 4.8605, 4.8605 and 15.0078 Å and the angles 90.00°, 90.00° and 90.00°. The asymmetric unit holds Pr at (0.0000, 0.0000, 0.1852), Pr at (0.0000, 0.5000, 0.0000), Pt at (0.0000, 0.0000, 0.3721) and O at (0.0000, 0.0000, 0.0000).

=====

Entry 21:
The following is a GGA-PBE calculation of a relaxed Pu4P3N crystal, from the Alexandria database.

Its total moment is 19.9 μB/f.u. Its raw formation energy is -8.44 eV/f.u.

The structure belongs to space group I4/mmm (No. 139); the cell edges are 5.5241, 5.5241 and 10.9390 Å and the angles 90.00°, 90.00° and 90.00°. The asymmetric unit holds Pu at (0.0000, 0.0000, 0.2180), Pu at (0.0000, 0.5000, 0.0000), P at (0.0000, 0.0000, 0.5000), P at (0.0000, 0.5000, 0.2500) and N at (0.0000, 0.0000, 0.0000).